(1)
The following is a PBE calculation of an optimized crystal structure of Pm2ErSc8, from Alexandria via LeMat-Bulk.

Values from the calculation:
The formation energy is 0.153 eV per atom. The calculation puts the uncorrected energy at -126.064 eV per cell.

a b c (Å): 8.642 15.298 5.527
angles (deg): 90.00 125.10 90.00
Space group C2/m (No. 12)
Unique sites:
Pm (0.000, 0.194, 0.000) x4
Er (0.000, 0.500, 0.500) x2
Sc (0.000, 0.294, 0.500) x4
Sc (0.056, 0.000, 0.290) x4
Sc (0.214, 0.383, 0.184) x8


(2)
The following is a PBE calculation of an optimized crystal structure of PmEr15Sc4, from Alexandria via LeMat-Bulk.

Values from the calculation:
The formation energy is 0.040 eV per atom. The calculation puts the uncorrected energy at -97.720 eV per cell.

a b c (Å): 4.902 4.902 24.481
angles (deg): 90.00 90.00 90.00
Space group P4/mmm (No. 123)
Unique sites:
Pm (0.000, 0.000, 0.000) x1
Er (0.000, 0.500, 0.104) x4
Er (0.000, 0.500, 0.302) x4
Er (0.000, 0.500, 0.500) x2
Er (0.500, 0.500, 0.000) x1
Er (0.500, 0.500, 0.204) x2
Er (0.500, 0.500, 0.401) x2
Sc (0.000, 0.000, 0.203) x2
Sc (0.000, 0.000, 0.401) x2


(3)
The following is a PBE calculation of an optimized crystal structure of Pm2Er3Sc8, from Alexandria via LeMat-Bulk.

Values from the calculation:
The formation energy is 0.241 eV per atom. The calculation puts the uncorrected energy at -141.419 eV per cell.

a b c (Å): 13.718 8.629 6.456
angles (deg): 90.00 99.71 90.00
Space group C2/m (No. 12)
Unique sites:
Pm (0.227, 0.000, 0.310) x4
Er (0.000, 0.000, 0.000) x2
Er (0.000, 0.178, 0.500) x4
Sc (0.071, 0.500, 0.339) x4
Sc (0.114, 0.319, 0.951) x8
Sc (0.204, 0.000, 0.798) x4


(4)
The following is a PBE calculation of an optimized crystal structure of PmEr2Sc, from Alexandria via LeMat-Bulk.

Values from the calculation:
The formation energy is 0.152 eV per atom. The calculation puts the uncorrected energy at -78.403 eV per cell.

a b c (Å): 7.849 7.849 7.849
angles (deg): 90.00 90.00 90.00
Space group Fm-3m (No. 225)
Unique sites:
Pm (0.000, 0.000, 0.000) x4
Er (0.250, 0.250, 0.250) x8
Sc (0.000, 0.000, 0.500) x4


V
In order: 27.2 29.4 29.0 30.2
Unit: Å³ per atom